Record 1
Here is a relaxed Th2ZrPN5 crystal from Alexandria. Energies are from PBE.

Geometry as extended XYZ:
```
18
Lattice="6.7172 0.0000 0.0000 0.0000 6.7172 0.0000 0.0000 0.0000 5.4890" Properties=species:S:1:pos:R:3 pbc="T T T"
Th 1.1985 2.1601 0.0000
Th 2.1601 5.5187 0.0000
Th 4.5571 1.1985 0.0000
Th 5.5187 4.5571 0.0000
Zr 0.0000 0.0000 2.7445
Zr 3.3586 3.3586 2.7445
P 0.0000 3.3586 2.7445
P 3.3586 0.0000 2.7445
N 0.0000 0.0000 0.0000
N 0.8931 4.2516 1.5313
N 0.8931 4.2516 3.9577
N 2.4655 0.8931 1.5313
N 2.4655 0.8931 3.9577
N 3.3586 3.3586 0.0000
N 4.2516 5.8241 1.5313
N 4.2516 5.8241 3.9577
N 5.8241 2.4655 1.5313
N 5.8241 2.4655 3.9577
```

Properties
**Total DFT energy (no corrections)**: -153.660 eV for the cell shown
**N(E_F)**: 0.1917 states/eV/atom
**Magnetic moment**: 0.0 μB per formula unit



Record 2
Here is a relaxed Ti3PN crystal from Alexandria. Energies are from PBE.

Geometry as extended XYZ:
```
10
Lattice="7.3675 -1.4789 0.0000 7.3675 1.4789 0.0000 -0.1361 0.0000 6.6957" Properties=species:S:1:pos:R:3 pbc="T T T"
Ti 0.4928 0.0000 1.4188
Ti 2.2642 0.0000 3.5505
Ti 4.2023 0.0000 5.5343
Ti 10.3967 0.0000 1.1614
Ti 12.3348 0.0000 3.1452
Ti 14.1062 0.0000 5.2769
P 1.7820 0.0000 6.0870
P 12.8170 0.0000 0.6087
N 5.9143 0.0000 4.2165
N 8.6847 0.0000 2.4792
```

Properties
**Total DFT energy (no corrections)**: -84.002 eV for the cell shown
**N(E_F)**: 0.9719 states/eV/atom
**Magnetic moment**: 0.0 μB per formula unit



Record 3
Here is a relaxed Ti4P2N crystal from Alexandria. Energies are from PBE.

Geometry as extended XYZ:
```
7
Lattice="-1.9460 1.9460 6.5583 1.9460 -1.9460 6.5583 1.9460 1.9460 -6.5583" Properties=species:S:1:pos:R:3 pbc="T T T"
Ti 1.9460 0.0000 0.0000
Ti 0.0000 0.0000 2.2321
Ti 0.0000 1.9460 0.0000
Ti 0.0000 0.0000 10.8844
P 0.0000 0.0000 4.7018
P 0.0000 0.0000 8.4147
N 0.0000 0.0000 0.0000
```

Properties
**Total DFT energy (no corrections)**: -58.197 eV for the cell shown
**N(E_F)**: 0.7972 states/eV/atom
**Magnetic moment**: 0.0 μB per formula unit